(1)
DFT (PBE) results for crystalline Sc4Te2PPb at its relaxed geometry.

Properties
E_tot   -6.123 eV per atom
Space-group type   P2/m, No. 10

Cell and atoms, written as POSCAR:
```
Sc4Te2PPb
1.0
-0.7987 -3.7153 1.3734
5.5743 0.4222 4.3841
-2.1405 2.7488 6.1913
Sc Te P Pb
4 2 1 1
Cartesian
2.4934 2.3321 7.7588
0.1417 -2.8763 4.1900
2.9935 -0.7884 5.5525
-0.3584 0.2442 6.3963
-2.1405 2.7488 6.1913
-1.4696 -0.4832 3.7824
1.7169 1.5855 5.2877
2.3878 -1.6465 2.8787
```

=====

(2)
DFT (PBE) results for crystalline Tm2Sc2PPb2 at its relaxed geometry.

Properties
DFT formation energy   -713 meV per atom
Space-group type   I4/mmm, No. 139

Cell and atoms, written as POSCAR:
```
Tm2Sc2PPb2
1.0
4.8181 0.0000 0.0000
0.0000 4.8181 0.0000
-2.4091 -2.4091 7.9495
Tm Sc P Pb
2 2 1 2
Cartesian
0.0000 0.0000 2.6636
2.4091 2.4091 5.2859
0.0000 2.4091 0.0000
2.4091 0.0000 0.0000
0.0000 0.0000 0.0000
0.0000 0.0000 5.7924
2.4091 2.4091 2.1571
```

=====

(3)
DFT (PBE) results for crystalline Y2ScPPb at its relaxed geometry.

Properties
DFT formation energy   -762 meV per atom
Space-group type   P4/mmm, No. 123

Cell and atoms, written as POSCAR:
```
Y2ScPPb
1.0
5.2573 0.0000 0.0000
0.0000 5.2573 0.0000
0.0000 0.0000 4.9269
Pb Y Sc P
1 2 1 1
Cartesian
2.6286 2.6286 2.4634
0.0000 2.6286 0.0000
2.6286 0.0000 0.0000
0.0000 0.0000 2.4634
0.0000 0.0000 0.0000
```

=====

Let's list N(E_F) in order: 3.00, 4.39, 3.53 states/eV per cell.